An optimized crystal structure of HgP2H6Br. Source: Alexandria via LeMat-Bulk, functional PBE.

## Properties
final energy = -3.32 eV per atom
calculated density = 3.7 g cm⁻³

abc: 7.597 7.597 6.944
angles: 100.32 100.32 122.50
Fractional coordinates of all 20 atoms:
Hg  0.050  0.950  0.750
Hg  0.950  0.050  0.250
P  0.082  0.324  0.653
P  0.324  0.082  0.153
P  0.676  0.918  0.847
P  0.918  0.676  0.347
H  0.101  0.666  0.350
H  0.203  0.435  0.873
H  0.206  0.505  0.583
H  0.334  0.899  0.150
H  0.435  0.203  0.373
H  0.495  0.794  0.917
H  0.505  0.206  0.083
H  0.565  0.797  0.627
H  0.666  0.101  0.850
H  0.794  0.495  0.417
H  0.797  0.565  0.127
H  0.899  0.334  0.650
Br  0.399  0.601  0.250
Br  0.601  0.399  0.750

=====

An optimized crystal structure of AcZnIn2. Source: Alexandria via LeMat-Bulk, functional PBE.

## Properties
E_form = -0.410 eV per atom
relative energy among the computed polymorphs = 0.0 meV per atom
final energy = -3.12 eV per atom
calculated density = 8.0 g cm⁻³

abc: 10.247 10.247 4.749
angles: 90.00 90.00 154.15
Fractional coordinates of all 8 atoms:
Ac  0.108  0.892  0.750
Ac  0.892  0.108  0.250
Zn  0.330  0.670  0.750
Zn  0.670  0.330  0.250
In  0.251  0.749  0.250
In  0.462  0.538  0.750
In  0.538  0.462  0.250
In  0.749  0.251  0.750

=====

An optimized crystal structure of GaSbI2O. Source: Alexandria via LeMat-Bulk, functional PBE.

## Properties
relative energy among the computed polymorphs = 387.5 meV per atom
final energy = -3.03 eV per atom
calculated density = 4.7 g cm⁻³

abc: 6.363 6.363 4.035
angles: 90.00 90.00 90.00
Fractional coordinates of all 5 atoms:
Ga  0.000  0.000  0.000
Sb  0.500  0.500  0.000
I  0.000  0.500  0.500
I  0.500  0.000  0.500
O  0.500  0.500  0.500

=====

An optimized crystal structure of PaBePN. Source: Alexandria via LeMat-Bulk, functional PBE.

## Properties
final energy = -7.85 eV per atom
calculated density = 7.8 g cm⁻³

abc: 10.007 10.007 10.007
angles: 21.88 21.88 21.88
Fractional coordinates of all 8 atoms:
Pa  0.117  0.117  0.117
Pa  0.883  0.883  0.883
Be  0.304  0.304  0.304
Be  0.696  0.696  0.696
P  0.381  0.381  0.381
P  0.619  0.619  0.619
N  0.195  0.195  0.195
N  0.805  0.805  0.805

=====

An optimized crystal structure of Cd2FeTc. Source: Alexandria via LeMat-Bulk, functional PBE.

## Properties
E_form = 0.600 eV per atom
relative energy among the computed polymorphs = 406.8 meV per atom
final energy = -4.57 eV per atom
calculated density = 9.3 g cm⁻³

abc: 4.575 4.575 4.575
angles: 60.00 60.00 60.00
Fractional coordinates of all 4 atoms:
Cd  0.250  0.250  0.250
Cd  0.750  0.750  0.750
Fe  0.000  0.000  0.000
Tc  0.500  0.500  0.500

=====

An optimized crystal structure of PmTmPbSe. Source: Alexandria via LeMat-Bulk, functional PBE.

## Properties
final energy = -5.18 eV per atom
calculated density = 8.7 g cm⁻³

abc: 4.348 4.348 6.044
angles: 90.00 90.00 90.00
Fractional coordinates of all 4 atoms:
Pm  0.000  0.000  0.000
Tm  0.500  0.500  0.500
Pb  0.500  0.500  0.000
Se  0.000  0.000  0.500

=====

An optimized crystal structure of Rb3TaCl. Source: Alexandria via LeMat-Bulk, functional PBE.

## Properties
relative energy among the computed polymorphs = 0.0 meV per atom
final energy = -2.86 eV per atom
calculated density = 3.1 g cm⁻³

abc: 6.298 6.298 6.298
angles: 90.00 90.00 90.00
Fractional coordinates of all 5 atoms:
Rb  0.000  0.000  0.500
Rb  0.000  0.500  0.000
Rb  0.500  0.000  0.000
Ta  0.500  0.500  0.500
Cl  0.000  0.000  0.000

=====

An optimized crystal structure of BeAlOs2. Source: Alexandria via LeMat-Bulk, functional PBE.

## Properties
E_form = -0.119 eV per atom
final energy = -7.60 eV per atom
calculated density = 13.4 g cm⁻³

abc: 4.711 4.711 4.300
angles: 109.25 109.25 35.04
Fractional coordinates of all 4 atoms:
Be  0.000  0.000  0.000
Al  0.251  0.251  0.651
Os  0.494  0.494  0.492
Os  0.741  0.741  0.128

=====

An optimized crystal structure of AgPtF2. Source: Alexandria via LeMat-Bulk, functional PBE.

## Properties
relative energy among the computed polymorphs = 596.6 meV per atom
final energy = -3.35 eV per atom
calculated density = 10.2 g cm⁻³

abc: 4.276 4.276 4.276
angles: 60.00 60.00 60.00
Fractional coordinates of all 4 atoms:
Ag  0.000  0.000  0.000
Pt  0.500  0.500  0.500
F  0.250  0.250  0.250
F  0.750  0.750  0.750

=====

An optimized crystal structure of BeCd2F6. Source: Alexandria via LeMat-Bulk, functional PBE.

## Properties
relative energy among the computed polymorphs = 56.2 meV per atom
final energy = -4.21 eV per atom
calculated density = 4.4 g cm⁻³

abc: 5.421 5.421 7.463
angles: 103.60 103.60 38.38
Fractional coordinates of all 9 atoms:
Be  0.000  0.000  0.000
Cd  0.220  0.220  0.693
Cd  0.780  0.780  0.307
F  0.042  0.042  0.817
F  0.174  0.174  0.125
F  0.354  0.354  0.489
F  0.646  0.646  0.511
F  0.826  0.826  0.875
F  0.958  0.958  0.183

=====

An optimized crystal structure of Ca2PmSi3Au12. Source: Alexandria via LeMat-Bulk, functional PBE.

## Properties
final energy = -3.77 eV per atom
calculated density = 10.8 g cm⁻³

abc: 7.886 7.886 7.886
angles: 69.03 69.03 69.03
Fractional coordinates of all 18 atoms:
Ca  0.092  0.092  0.092
Ca  0.908  0.908  0.908
Pm  0.500  0.500  0.500
Si  0.000  0.500  0.500
Si  0.500  0.000  0.500
Si  0.500  0.500  0.000
Au  0.094  0.658  0.658
Au  0.196  0.196  0.650
Au  0.196  0.650  0.196
Au  0.342  0.342  0.906
Au  0.342  0.906  0.342
Au  0.350  0.804  0.804
Au  0.650  0.196  0.196
Au  0.658  0.094  0.658
Au  0.658  0.658  0.094
Au  0.804  0.350  0.804
Au  0.804  0.804  0.350
Au  0.906  0.342  0.342

=====

An optimized crystal structure of ErPu2Sb. Source: Alexandria via LeMat-Bulk, functional PBE.

## Properties
final energy = -9.74 eV per atom
calculated density = 12.4 g cm⁻³

abc: 4.538 4.538 5.050
angles: 90.00 90.00 90.00
Fractional coordinates of all 4 atoms:
Er  0.000  0.000  0.000
Pu  0.000  0.500  0.500
Pu  0.500  0.000  0.500
Sb  0.500  0.500  0.000